{
  "formula": "In3SnI5",
  "functional": "PBE",
  "state": "optimized geometry",
  "lattice_angstrom": [[-0.068, 8.378, 3.393], [-7.834, 1.750, -4.476], [-11.810, -5.058, 12.252]],
  "species": ["I", "In", "I", "Sn", "I", "I", "In", "I", "I", "Sn", "I", "I", "In", "I", "Sn", "I", "In", "Sn", "In", "In", "In", "In", "I", "I", "In", "I", "I", "I", "I", "I", "In", "In", "I", "In", "I", "I"],
  "frac_coords": [[0.770, 0.861, 0.387], [0.956, 0.229, 0.477], [0.361, 0.548, 0.894], [0.455, 0.700, 0.411], [0.730, 0.861, 0.887], [0.639, 0.452, 0.106], [0.456, 0.771, 0.023], [0.384, 0.615, 0.602], [0.616, 0.385, 0.398], [0.045, 0.700, 0.911], [0.285, 0.000, 0.393], [0.544, 0.250, 0.765], [0.905, 0.105, 0.751], [0.956, 0.250, 0.265], [0.955, 0.300, 0.089], [0.456, 0.750, 0.235], [0.405, 0.895, 0.749], [0.545, 0.300, 0.589], [0.185, 0.388, 0.743], [0.315, 0.388, 0.243], [0.685, 0.612, 0.757], [0.095, 0.895, 0.249], [0.884, 0.385, 0.898], [0.044, 0.750, 0.735], [0.044, 0.771, 0.523], [0.785, 0.000, 0.107], [0.116, 0.615, 0.102], [0.230, 0.139, 0.613], [0.715, 0.000, 0.607], [0.861, 0.452, 0.606], [0.544, 0.229, 0.977], [0.815, 0.612, 0.257], [0.215, 0.000, 0.893], [0.595, 0.105, 0.251], [0.270, 0.139, 0.113], [0.139, 0.548, 0.394]],
  "e_form_raw_ev_per_atom": -0.467,
  "e_tot_ev_per_cell": -96.68,
  "rho_g_cm3": 5.02,
  "space_group": "P2_1/c (14)"
}

***

{
  "formula": "CaFeTc2",
  "functional": "PBE",
  "state": "optimized geometry",
  "lattice_angstrom": [[-1.053, -2.962, 4.747], [0.682, -4.573, 3.322], [3.242, 0.529, 3.351]],
  "species": ["Fe", "Tc", "Ca", "Tc"],
  "frac_coords": [[0.250, 0.250, 0.250], [0.537, 0.537, 0.462], [0.750, 0.750, 0.750], [0.963, 0.963, 0.038]],
  "e_above_lowest_polymorph_mev_per_atom": 75,
  "e_tot_ev_per_cell": -29.42,
  "rho_g_cm3": 7.46,
  "space_group": "C2/m (12)",
  "formation_energy_ev_per_fu": 1.776
}

***

{
  "formula": "MnAsRh",
  "functional": "PBE",
  "state": "optimized geometry",
  "lattice_angstrom": [[4.186, 0.000, 0.000], [-2.093, 3.625, 0.000], [0.000, 0.000, 2.960]],
  "species": ["Rh", "As", "Mn"],
  "frac_coords": [[0.667, 0.333, 0.833], [0.000, 0.000, 0.833], [0.333, 0.667, 0.333]],
  "e_tot_ev_per_cell": -21.93,
  "rho_g_cm3": 8.60,
  "space_group": "P-6m2 (187)",
  "formation_energy_ev_per_fu": -0.757
}

***

{
  "formula": "Ac5CuTe4",
  "functional": "PBE",
  "state": "optimized geometry",
  "lattice_angstrom": [[-2.623, -5.278, 3.122], [2.395, -0.836, 7.723], [-7.032, 1.520, 3.785]],
  "species": ["Cu", "Te", "Ac", "Ac", "Ac", "Te", "Ac", "Ac", "Te", "Te"],
  "frac_coords": [[0.003, 0.000, 0.000], [0.410, 0.398, 0.784], [0.099, 0.621, 0.183], [0.720, 0.183, 0.379], [0.501, 0.000, 0.000], [0.591, 0.602, 0.216], [0.282, 0.817, 0.621], [0.903, 0.379, 0.817], [0.194, 0.216, 0.398], [0.808, 0.784, 0.602]],
  "e_form_raw_ev_per_atom": -1.202,
  "e_tot_ev_per_cell": -49.23,
  "rho_g_cm3": 7.74,
  "space_group": "I4 (79)"
}

***

{
  "formula": "CaP2PdCl",
  "functional": "PBE",
  "state": "optimized geometry",
  "lattice_angstrom": [[4.511, 0.000, 0.000], [0.000, 4.511, 0.000], [0.000, 0.000, 6.048]],
  "species": ["P", "P", "Ca", "Cl", "Pd"],
  "frac_coords": [[0.500, 0.000, 0.000], [0.000, 0.500, 0.000], [0.500, 0.500, 0.500], [0.000, 0.000, 0.500], [0.000, 0.000, 0.000]],
  "e_form_raw_ev_per_atom": -0.266,
  "e_above_lowest_polymorph_mev_per_atom": 0,
  "e_tot_ev_per_cell": -21.19,
  "rho_g_cm3": 3.29,
  "space_group": "P4/mmm (123)"
}

***

{
  "formula": "MgAl2Si",
  "functional": "PBE",
  "state": "optimized geometry",
  "lattice_angstrom": [[4.043, 0.000, 0.000], [2.021, 3.501, 0.000], [2.021, 1.167, 5.825]],
  "species": ["Si", "Al", "Mg", "Al"],
  "frac_coords": [[0.665, 0.665, 0.005], [0.271, 0.271, 0.188], [0.500, 0.500, 0.499], [0.064, 0.064, 0.809]],
  "e_form_raw_ev_per_atom": 0.198,
  "e_tot_ev_per_cell": -13.71,
  "rho_g_cm3": 2.14,
  "space_group": "R3m (160)"
}

***

{
  "formula": "Mg4N",
  "functional": "PBE",
  "state": "optimized geometry",
  "lattice_angstrom": [[4.412, 0.000, 0.000], [0.000, 4.412, 0.000], [0.000, 0.000, 4.412]],
  "species": ["Mg", "Mg", "Mg", "Mg", "N"],
  "frac_coords": [[0.000, 0.000, 0.000], [0.500, 0.000, 0.500], [0.500, 0.500, 0.000], [0.000, 0.500, 0.500], [0.500, 0.500, 0.500]],
  "e_form_raw_ev_per_atom": -0.187,
  "e_tot_ev_per_cell": -15.64,
  "rho_g_cm3": 2.15,
  "space_group": "Pm-3m (221)"
}

***

{
  "formula": "SmGe3Pd2",
  "functional": "PBE",
  "state": "optimized geometry",
  "lattice_angstrom": [[-0.848, -2.391, -3.789], [-3.909, -4.246, 3.555], [-3.183, 7.841, -1.493]],
  "species": ["Pd", "Ge", "Pd", "Sm", "Ge", "Pd", "Ge", "Ge", "Sm", "Ge", "Pd", "Ge"],
  "frac_coords": [[0.208, 0.709, 0.417], [0.039, 0.387, 0.077], [0.498, 0.789, 0.996], [0.869, 0.895, 0.738], [0.675, 0.463, 0.349], [0.792, 0.291, 0.583], [0.961, 0.613, 0.923], [0.325, 0.537, 0.651], [0.131, 0.105, 0.262], [0.334, 0.144, 0.668], [0.502, 0.211, 0.004], [0.666, 0.856, 0.332]],
  "e_above_lowest_polymorph_mev_per_atom": 0,
  "e_tot_ev_per_cell": -64.95,
  "rho_g_cm3": 8.52,
  "space_group": "C2/m (12)",
  "formation_energy_ev_per_fu": -3.517
}

***

{
  "formula": "Cr2GaCoH",
  "functional": "PBE",
  "state": "optimized geometry",
  "lattice_angstrom": [[3.554, 0.000, 0.000], [0.000, 3.554, 0.000], [0.000, 0.000, 3.944]],
  "species": ["Co", "Cr", "Ga", "H", "Cr"],
  "frac_coords": [[0.000, 0.000, 0.500], [0.000, 0.500, 0.000], [0.500, 0.500, 0.500], [0.000, 0.000, 0.000], [0.500, 0.000, 0.000]],
  "e_tot_ev_per_cell": -32.59,
  "rho_g_cm3": 7.79,
  "space_group": "P4/mmm (123)"
}

***

{
  "formula": "YIn2Ag2",
  "functional": "PBE",
  "state": "optimized geometry",
  "lattice_angstrom": [[4.304, 0.000, 0.000], [0.000, 4.304, 0.000], [2.152, 2.152, 6.368]],
  "species": ["Ag", "In", "In", "Ag", "Y"],
  "frac_coords": [[0.396, 0.396, 0.207], [0.250, 0.750, 0.500], [0.750, 0.250, 0.500], [0.604, 0.604, 0.793], [0.000, 0.000, 0.000]],
  "e_above_lowest_polymorph_mev_per_atom": 0,
  "e_tot_ev_per_cell": -18.63,
  "rho_g_cm3": 7.52,
  "space_group": "I4/mmm (139)",
  "formation_energy_ev_per_fu": -0.984
}

***

{
  "formula": "PuPaAg2O8",
  "functional": "PBE",
  "state": "optimized geometry",
  "lattice_angstrom": [[-4.993, -3.422, 1.096], [2.323, 0.260, 5.690], [-1.151, 5.476, -2.556]],
  "species": ["Ag", "O", "O", "O", "O", "Pu", "O", "O", "Pa", "Ag", "O", "O"],
  "frac_coords": [[0.500, 0.500, 0.000], [0.965, 0.274, 0.309], [0.274, 0.065, 0.791], [0.965, 0.656, 0.691], [0.517, 0.726, 0.791], [0.250, 0.750, 0.500], [0.344, 0.035, 0.309], [0.726, 0.035, 0.691], [0.000, 0.000, 0.000], [0.750, 0.250, 0.500], [0.274, 0.483, 0.209], [0.935, 0.726, 0.209]],
  "e_form_raw_ev_per_atom": -1.718,
  "e_tot_ev_per_cell": -89.82,
  "rho_g_cm3": 7.76,
  "space_group": "I-4m2 (119)"
}

***

{
  "formula": "Pm3Sc2Tl2",
  "functional": "PBE",
  "state": "optimized geometry",
  "lattice_angstrom": [[-0.168, 3.619, 0.455], [-0.461, 0.613, -5.046], [-10.474, -2.733, 3.205]],
  "species": ["Tl", "Sc", "Pm", "Sc", "Pm", "Tl", "Pm"],
  "frac_coords": [[0.643, 0.143, 0.286], [0.570, 0.570, 0.139], [0.800, 0.300, 0.600], [0.430, 0.430, 0.861], [0.200, 0.700, 0.400], [0.357, 0.857, 0.714], [0.000, 0.000, 0.000]],
  "e_tot_ev_per_cell": -32.82,
  "rho_g_cm3": 7.67,
  "space_group": "Immm (71)",
  "formation_energy_ev_per_fu": -1.174
}